1.
Compound: RbCd7Ga2
Source: Alexandria via LeMat-Bulk
Functional: PBE
Structure: optimized geometry

## Properties
E_form: 109 meV/atom
Total magnetization: 0.00 μB per formula unit
E: -1.23 eV per atom

a b c (Å): 4.6979 7.9742 9.4516
angles (deg): 114.95 90.00 90.00
Element x y z (fractional)
Cd (0.5000, 0.5000, 0.0000)
Cd (0.5000, 0.3380, 0.3319)
Cd (0.0000, 0.2600, 0.5199)
Cd (0.5000, 0.6620, 0.6681)
Cd (0.5000, 0.0061, 0.6681)
Cd (0.5000, 0.9939, 0.3319)
Cd (0.0000, 0.7400, 0.4801)
Ga (0.5000, 0.6544, 0.3087)
Ga (0.5000, 0.3456, 0.6913)
Rb (0.0000, 0.0000, 0.0000)



2.
Compound: RbCdGa
Source: Alexandria via LeMat-Bulk
Functional: PBE
Structure: optimized geometry

## Properties
E_form: 39 meV/atom
Total magnetization: 0.00 μB per formula unit
E: -1.60 eV per atom
Relative energy among the computed polymorphs: 0.059 eV per atom

a b c (Å): 3.8764 3.8764 7.0440
angles (deg): 105.97 105.97 90.00
Element x y z (fractional)
Ga (0.7105, 0.7105, 0.4209)
Cd (0.2873, 0.2873, 0.5745)
Rb (0.0023, 0.0023, 0.0045)



3.
Compound: RbCdGa
Source: Alexandria via LeMat-Bulk
Functional: PBE
Structure: optimized geometry

## Properties
E_form: -20 meV/atom
Total magnetization: 0.00 μB per formula unit
E: -1.66 eV per atom
Relative energy among the computed polymorphs: 0.000 eV per atom

a b c (Å): 5.0263 7.2315 7.2315
angles (deg): 66.25 69.66 69.66
Element x y z (fractional)
Rb (0.7327, 0.2673, 0.2673)
Rb (0.2673, 0.7327, 0.7327)
Cd (0.0000, 0.2996, 0.7004)
Cd (0.0000, 0.7004, 0.2996)
Ga (0.5000, 0.1552, 0.8448)
Ga (0.5000, 0.8448, 0.1552)



4.
Compound: RbCd3Ga
Source: Alexandria via LeMat-Bulk
Functional: PBE
Structure: optimized geometry

## Properties
E_form: -51 meV/atom
Total magnetization: 0.00 μB per formula unit
E: -1.40 eV per atom
Relative energy among the computed polymorphs: 0.000 eV per atom

a b c (Å): 5.0521 5.0521 6.7419
angles (deg): 112.00 112.00 90.00
Element x y z (fractional)
Cd (0.7582, 0.2582, 0.5165)
Cd (0.2582, 0.7582, 0.5165)
Cd (0.4063, 0.4063, 0.8126)
Rb (0.0166, 0.0166, 0.0332)
Ga (0.6509, 0.6509, 0.3018)



5.
Compound: RbCdGa3
Source: Alexandria via LeMat-Bulk
Functional: PBE
Structure: optimized geometry

## Properties
E_form: 1122 meV/atom
Total magnetization: 0.00 μB per formula unit
E: -1.07 eV per atom
Relative energy among the computed polymorphs: 0.834 eV per atom

a b c (Å): 6.0933 6.0933 6.0933
angles (deg): 90.00 90.00 90.00
Element x y z (fractional)
Ga (0.0000, 0.5000, 0.0000)
Ga (0.5000, 0.0000, 0.0000)
Ga (0.0000, 0.0000, 0.5000)
Rb (0.0000, 0.0000, 0.0000)
Cd (0.5000, 0.5000, 0.5000)



6.
Compound: RbCd4Ga2
Source: Alexandria via LeMat-Bulk
Functional: PBE
Structure: optimized geometry

## Properties
E_form: -45 meV/atom
Total magnetization: 0.00 μB per formula unit
E: -1.57 eV per atom

a b c (Å): 4.7469 4.7323 8.2756
angles (deg): 106.61 90.00 90.00
Element x y z (fractional)
Cd (0.0000, 0.6844, 0.3687)
Cd (0.5000, 0.8172, 0.6345)
Cd (0.0000, 0.3156, 0.6313)
Cd (0.5000, 0.1828, 0.3655)
Rb (0.0000, 0.0000, 0.0000)
Ga (0.5000, 0.4144, 0.8288)
Ga (0.5000, 0.5856, 0.1712)



7.
Compound: RbCd3Ga
Source: Alexandria via LeMat-Bulk
Functional: PBE
Structure: optimized geometry

## Properties
E_form: 41 meV/atom
Total magnetization: 0.00 μB per formula unit
E: -1.31 eV per atom
Relative energy among the computed polymorphs: 0.092 eV per atom

a b c (Å): 6.3773 7.2792 7.2786
angles (deg): 120.01 90.00 90.00
Element x y z (fractional)
Ga (0.5000, 0.0000, 0.0000)
Ga (0.0000, 0.0000, 0.0000)
Cd (0.7500, 0.1914, 0.3828)
Cd (0.2500, 0.8086, 0.6172)
Cd (0.7500, 0.1915, 0.8087)
Cd (0.7500, 0.6172, 0.8087)
Cd (0.2500, 0.3828, 0.1913)
Cd (0.2500, 0.8085, 0.1913)
Rb (0.2500, 0.3333, 0.6665)
Rb (0.7500, 0.6667, 0.3335)



8.
Compound: Rb3CdGa
Source: Alexandria via LeMat-Bulk
Functional: PBE
Structure: optimized geometry

## Properties
E_form: 236 meV/atom
Total magnetization: 0.00 μB per formula unit
E: -1.13 eV per atom
Relative energy among the computed polymorphs: 0.000 eV per atom

a b c (Å): 6.8744 6.8744 6.8744
angles (deg): 90.00 90.00 90.00
Element x y z (fractional)
Ga (0.0000, 0.0000, 0.0000)
Cd (0.5000, 0.5000, 0.5000)
Rb (0.5000, 0.0000, 0.0000)
Rb (0.0000, 0.0000, 0.5000)
Rb (0.0000, 0.5000, 0.0000)